Here is an optimized crystal structure of BaAl2Sb from Alexandria. Energies are from GGA-PBEsol.

POSCAR file:
```
BaAl2Sb
1.0
-1.302 -2.416 3.089
-0.311 -2.195 -4.612
5.834 -0.772 1.855
Al Sb Ba
2 1 1
Direct
0.771 0.542 0.851 Al
0.229 0.458 0.149 Al
0.500 0.000 0.000 Sb
0.000 0.000 0.500 Ba
```

## Properties
E_form (uncorrected)	-0.18	eV per atom
SG	C2/m (12)
DOS(E_F)	2.44	states/eV/cell
M_tot	0.000	μB per cell

---

Here is an optimized crystal structure of FeGe3Sb from Alexandria. Energies are from GGA-PBEsol.

POSCAR file:
```
FeGe3Sb
1.0
-1.615 -4.080 1.256
3.918 -1.950 -1.294
1.694 0.620 4.192
Fe Ge Sb
1 3 1
Direct
0.000 0.000 0.000 Fe
0.500 0.000 0.000 Ge
0.000 0.000 0.500 Ge
0.000 0.500 0.000 Ge
0.500 0.500 0.500 Sb
```

## Properties
E_form (uncorrected)	0.18	eV per atom
SG	Pm-3m (221)
DOS(E_F)	4.95	states/eV/cell
offset from the most stable computed form	0.000	eV per atom
M_tot	0.001	μB per cell

---

Here is an optimized crystal structure of Na2CdSi from Alexandria. Energies are from GGA-PBEsol.

POSCAR file:
```
Na2CdSi
1.0
4.964 0.000 0.000
2.482 4.299 0.000
2.482 1.433 4.053
Na Cd Si
2 1 1
Direct
0.750 0.750 0.750 Na
0.250 0.250 0.250 Na
0.500 0.500 0.500 Cd
0.000 0.000 0.000 Si
```

## Properties
E_form (uncorrected)	0.23	eV per atom
SG	Fm-3m (225)
DOS(E_F)	2.45	states/eV/cell
M_tot	0.000	μB per cell

---

Here is an optimized crystal structure of LiHg4 from Alexandria. Energies are from GGA-PBEsol.

POSCAR file:
```
LiHg4
1.0
5.367 0.000 0.000
-1.789 5.060 0.000
-1.789 -2.530 4.382
Hg Li
4 1
Direct
0.500 0.500 0.500 Hg
0.000 0.000 0.500 Hg
0.000 0.500 0.000 Hg
0.500 0.000 0.000 Hg
0.000 0.000 0.000 Li
```

## Properties
electronic total energy	-0.960	eV/atom
SG	Im-3m (229)
DOS(E_F)	0.99	states/eV/cell
M_tot	0.000	μB per cell

---

Here is an optimized crystal structure of Sr2InGa2 from Alexandria. Energies are from GGA-PBEsol.

POSCAR file:
```
Sr2InGa2
1.0
4.976 0.000 0.000
0.000 7.387 0.000
0.000 0.000 7.387
In Sr Ga
2 4 4
Direct
0.000 0.000 0.000 In
0.000 0.500 0.500 In
0.500 0.681 0.819 Sr
0.500 0.181 0.681 Sr
0.500 0.819 0.319 Sr
0.500 0.319 0.181 Sr
0.000 0.878 0.622 Ga
0.000 0.122 0.378 Ga
0.000 0.378 0.878 Ga
0.000 0.622 0.122 Ga
```

## Properties
electronic total energy	-3.066	eV/atom
SG	P4/mbm (127)
DOS(E_F)	7.92	states/eV/cell
M_tot	0.000	μB per cell

---

Here is an optimized crystal structure of Cd5Hg4 from Alexandria. Energies are from GGA-PBEsol.

POSCAR file:
```
Cd5Hg4
1.0
4.461 0.000 0.000
2.231 6.578 0.000
2.231 0.000 6.578
Hg Cd
4 5
Direct
0.000 0.673 0.327 Hg
0.327 0.673 0.673 Hg
0.000 0.327 0.673 Hg
0.673 0.327 0.327 Hg
0.667 0.000 0.667 Cd
0.333 0.000 0.333 Cd
0.333 0.333 0.000 Cd
0.667 0.667 0.000 Cd
0.000 0.000 0.000 Cd
```

## Properties
SG	I4/mmm (139)
DOS(E_F)	2.71	states/eV/cell
offset from the most stable computed form	0.000	eV per atom
M_tot	0.000	μB per cell

---

Here is an optimized crystal structure of TbH2ClO2 from Alexandria. Energies are from GGA-PBEsol.

POSCAR file:
```
TbH2ClO2
1.0
-1.477 0.977 -3.146
-3.622 -4.968 0.158
-3.241 4.788 3.008
O H Tb Cl
4 4 2 2
Direct
0.250 0.548 0.163 O
0.750 0.897 0.094 O
0.750 0.452 0.837 O
0.250 0.103 0.906 O
0.750 0.875 0.238 H
0.750 0.355 0.688 H
0.250 0.645 0.312 H
0.250 0.125 0.762 H
0.250 0.714 0.886 Tb
0.750 0.286 0.114 Tb
0.250 0.234 0.436 Cl
0.750 0.766 0.564 Cl
```

## Properties
electronic total energy	-6.161	eV/atom
SG	P2_1/m (11)
DOS(E_F)	0.00	states/eV/cell
M_tot	0.000	μB per cell

---

Here is an optimized crystal structure of Sb2AsBr from Alexandria. Energies are from GGA-PBEsol.

POSCAR file:
```
Sb2AsBr
1.0
3.671 0.000 0.000
0.000 5.014 0.000
-1.835 -2.507 5.337
Br Sb As
1 2 1
Direct
0.000 0.500 0.000 Br
0.794 0.794 0.589 Sb
0.206 0.206 0.411 Sb
0.500 0.000 0.000 As
```

## Properties
E_form (uncorrected)	0.18	eV per atom
SG	Immm (71)
DOS(E_F)	2.18	states/eV/cell
offset from the most stable computed form	0.177	eV per atom
M_tot	0.000	μB per cell

---

Here is an optimized crystal structure of Cd2In2Pb from Alexandria. Energies are from GGA-PBEsol.

POSCAR file:
```
Cd2In2Pb
1.0
-2.111 2.462 0.362
-1.093 -2.174 8.404
6.582 5.315 2.231
Cd Pb In
4 2 4
Direct
0.500 0.654 0.846 Cd
0.500 0.846 0.346 Cd
0.500 0.346 0.154 Cd
0.500 0.154 0.654 Cd
0.000 0.000 0.000 Pb
0.000 0.500 0.500 Pb
0.000 0.644 0.144 In
0.000 0.356 0.856 In
0.000 0.144 0.356 In
0.000 0.856 0.644 In
```

## Properties
SG	P4/mbm (127)
DOS(E_F)	4.59	states/eV/cell
offset from the most stable computed form	0.000	eV per atom
M_tot	0.000	μB per cell

---

Here is an optimized crystal structure of Be3NiPd from Alexandria. Energies are from GGA-PBEsol.

POSCAR file:
```
Be3NiPd
1.0
-3.681 1.084 0.298
-0.484 -0.607 -3.770
-1.014 -3.643 0.717
Be Pd Ni
3 1 1
Direct
0.000 0.000 0.500 Be
0.500 0.000 0.000 Be
0.000 0.500 0.000 Be
0.500 0.500 0.500 Pd
0.000 0.000 0.000 Ni
```

## Properties
electronic total energy	-4.560	eV/atom
SG	Pm-3m (221)
DOS(E_F)	1.00	states/eV/cell
M_tot	0.000	μB per cell

---

Here is an optimized crystal structure of FeNiOs from Alexandria. Energies are from GGA-PBEsol.

POSCAR file:
```
FeNiOs
1.0
-0.560 1.591 -1.959
-3.268 0.431 1.284
3.101 1.917 2.377
Os Ni Fe
1 1 1
Direct
0.337 0.337 0.673 Os
0.666 0.666 0.331 Ni
0.998 0.998 0.996 Fe
```

## Properties
SG	Imm2 (44)
DOS(E_F)	2.88	states/eV/cell
offset from the most stable computed form	0.000	eV per atom
M_tot	0.003	μB per cell

---

Here is an optimized crystal structure of BaLaRe from Alexandria. Energies are from GGA-PBEsol.

POSCAR file:
```
BaLaRe
1.0
3.535 0.000 0.000
0.000 3.535 0.000
-1.767 -1.767 7.120
La Re Ba
1 1 1
Direct
0.712 0.712 0.425 La
0.321 0.321 0.642 Re
0.967 0.967 0.934 Ba
```

## Properties
electronic total energy	-6.300	eV/atom
SG	I4mm (107)
DOS(E_F)	2.76	states/eV/cell
M_tot	0.000	μB per cell

---

Here is an optimized crystal structure of YCu2Ni from Alexandria. Energies are from GGA-PBEsol.

POSCAR file:
```
YCu2Ni
1.0
3.885 0.000 0.000
0.000 3.899 0.000
-1.942 -1.949 3.884
Y Ni Cu
1 1 2
Direct
0.250 0.750 0.500 Y
0.500 0.500 0.999 Ni
0.000 0.000 0.001 Cu
0.750 0.250 0.500 Cu
```

## Properties
SG	Imm2 (44)
DOS(E_F)	1.64	states/eV/cell
offset from the most stable computed form	0.115	eV per atom
M_tot	0.000	μB per cell

---

Here is an optimized crystal structure of Cs2HgBiBr6 from Alexandria. Energies are from GGA-PBEsol.

POSCAR file:
```
Cs2HgBiBr6
1.0
8.094 0.000 0.000
4.047 7.010 0.000
4.047 2.337 6.609
Br Bi Hg Cs
6 1 1 2
Direct
0.752 0.248 0.752 Br
0.752 0.752 0.248 Br
0.248 0.752 0.752 Br
0.752 0.248 0.248 Br
0.248 0.752 0.248 Br
0.248 0.248 0.752 Br
0.000 0.000 0.000 Bi
0.500 0.500 0.500 Hg
0.250 0.250 0.250 Cs
0.750 0.750 0.750 Cs
```

## Properties
E_form (uncorrected)	-1.08	eV per atom
SG	Fm-3m (225)
DOS(E_F)	2.47	states/eV/cell
M_tot	0.000	μB per cell

---

Here is an optimized crystal structure of SrLiGe2 from Alexandria. Energies are from GGA-PBEsol.

POSCAR file:
```
SrLiGe2
1.0
4.405 0.000 0.000
0.000 7.120 0.000
0.000 0.000 11.458
Ge Sr Li
8 4 4
Direct
0.750 0.809 0.857 Ge
0.750 0.309 0.643 Ge
0.750 0.464 0.839 Ge
0.250 0.691 0.357 Ge
0.250 0.036 0.339 Ge
0.250 0.191 0.143 Ge
0.250 0.536 0.161 Ge
0.750 0.964 0.661 Ge
0.250 0.637 0.644 Sr
0.750 0.863 0.144 Sr
0.250 0.137 0.856 Sr
0.750 0.363 0.356 Sr
0.250 0.124 0.560 Li
0.750 0.376 0.060 Li
0.250 0.624 0.940 Li
0.750 0.876 0.440 Li
```

## Properties
electronic total energy	-3.981	eV/atom
SG	Pnma (62)
DOS(E_F)	3.91	states/eV/cell
M_tot	0.000	μB per cell

---

Here is an optimized crystal structure of NiSnO3 from Alexandria. Energies are from GGA-PBEsol.

POSCAR file:
```
NiSnO3
1.0
5.249 0.000 0.000
2.625 4.546 0.000
2.625 1.515 4.606
O Sn Ni
6 2 2
Direct
0.746 0.452 0.752 O
0.548 0.949 0.248 O
0.051 0.746 0.752 O
0.452 0.051 0.752 O
0.949 0.254 0.248 O
0.254 0.548 0.248 O
0.856 0.856 0.433 Sn
0.144 0.144 0.567 Sn
0.352 0.352 0.944 Ni
0.648 0.648 0.056 Ni
```

## Properties
E_form (uncorrected)	-1.17	eV per atom
SG	R-3 (148)
M_tot	4.066	μB per cell

---

Here is an optimized crystal structure of TcMo2As from Alexandria. Energies are from GGA-PBEsol.

POSCAR file:
```
TcMo2As
1.0
3.149 0.000 0.000
0.000 4.204 0.000
-1.574 -2.102 4.370
As Mo Tc
1 2 1
Direct
0.000 0.500 0.000 As
0.743 0.743 0.486 Mo
0.257 0.257 0.514 Mo
0.500 0.000 0.000 Tc
```

## Properties
electronic total energy	-10.012	eV/atom
SG	Immm (71)
DOS(E_F)	2.24	states/eV/cell
M_tot	0.000	μB per cell

---

Here is an optimized crystal structure of LiPm2Pt from Alexandria. Energies are from GGA-PBEsol.

POSCAR file:
```
LiPm2Pt
1.0
-3.572 -3.191 1.548
0.030 -4.775 -1.592
1.155 -3.712 3.198
Pm Pt Li
2 1 1
Direct
0.750 0.750 0.750 Pm
0.250 0.250 0.250 Pm
0.000 0.000 0.000 Pt
0.500 0.500 0.500 Li
```

## Properties
electronic total energy	-5.317	eV/atom
SG	Fm-3m (225)
DOS(E_F)	3.49	states/eV/cell
M_tot	0.000	μB per cell

---

Here is an optimized crystal structure of ScTlBr2 from Alexandria. Energies are from GGA-PBEsol.

POSCAR file:
```
ScTlBr2
1.0
-1.014 -0.492 -3.388
-4.982 -0.832 1.612
-1.011 5.185 -0.450
Br Sc Tl
2 1 1
Direct
0.000 0.500 0.000 Br
0.000 0.000 0.500 Br
0.500 0.500 0.500 Sc
0.500 0.000 0.000 Tl
```

## Properties
E_form (uncorrected)	-0.53	eV per atom
SG	P4/mmm (123)
DOS(E_F)	3.54	states/eV/cell
offset from the most stable computed form	0.049	eV per atom
M_tot	1.506	μB per cell

---

Here is an optimized crystal structure of Li2Si from Alexandria. Energies are from GGA-PBEsol.

POSCAR file:
```
Li2Si
1.0
2.593 0.000 0.000
0.000 4.276 0.000
0.000 -2.138 3.703
Li Si
2 1
Direct
0.000 0.667 0.333 Li
0.000 0.333 0.667 Li
0.500 0.000 0.000 Si
```

## Properties
E_form (uncorrected)	-0.24	eV per atom
SG	P6/mmm (191)
DOS(E_F)	0.92	states/eV/cell
M_tot	0.000	μB per cell